Entry 1:
A crystal of BaHgCl2 relaxed with PBEsol. Source: Alexandria, functional meta-GGA SCAN.

Lattice parameters (Å, degrees): 5.1303 5.1799 6.5418 90.00 112.18 90.00
With the nearest neighbours (Å) after each atom.
Fractional positions:
Ba  0.0000  0.0000  0.0000  4 Cl 2.94-2.96
Hg  0.7703  0.5000  0.5901  2 Cl 3.29-3.40, 2 Ba 3.59
Cl  0.1144  0.5000  0.2361  2 Ba 2.96, 1 Hg 3.29
Cl  0.3843  0.0000  0.7610  2 Ba 2.94-2.95

Computed properties:
The value obtained for the raw total energy is -32.7313 eV/atom. Its volume is 40.2 Å³/atom. As for the density: 4.22 g cm⁻³. As for the uncorrected formation energy: -1813 meV/atom.


Entry 2:
A crystal of Ta2SbTe relaxed with PBEsol. Source: Alexandria, functional meta-GGA SCAN.

Lattice parameters (Å, degrees): 5.2030 5.2030 5.2030 130.32 130.32 72.90
With the nearest neighbours (Å) after each atom.
Fractional positions:
Ta  0.0000  0.0000  0.0000  4 Ta 3.03, 4 Sb 3.03, 4 Te 3.09
Ta  0.7500  0.2500  0.5000  4 Ta 3.03, 4 Te 3.03, 4 Sb 3.09
Sb  0.2500  0.7500  0.5000  8 Ta 3.03-3.09, 4 Te 3.03
Te  0.5000  0.5000  0.0000  8 Ta 3.03-3.09, 4 Sb 3.03

Computed properties:
The value obtained for the raw total energy is -51.4518 eV/atom. The value obtained for the energy above the lowest structure with this stoichiometry is 396 meV/atom. Its volume is 20.0 Å³/atom. As for the density: 12.69 g cm⁻³. As for the uncorrected formation energy: 468 meV/atom.